1.
First-principles (GGA-PBE) data for crystalline LiPmThSn at its relaxed geometry, as listed in Alexandria via LeMat-Bulk.

Cell and atoms, written as extended XYZ:
```
4
Lattice="5.368 0.000 0.000 2.684 4.649 0.000 2.684 1.550 4.383" Properties=species:S:1:pos:R:3 pbc="T T T"
Li 8.052 4.649 3.287
Sn 2.684 1.550 1.096
Th 0.000 0.000 0.000
Pm 5.368 3.099 2.192
```

Computed properties:
As for the space group: F-43m, No. 216. Its final energy is -4.7835 eV/atom. As for the crystal system: cubic. The formation energy comes out at -1.05 eV/f.u. For the volume, the calculation gives 109 Å³/f.u.

2.
First-principles (GGA-PBE) data for crystalline Mn2ZnIn at its relaxed geometry, as listed in Alexandria via LeMat-Bulk.

Cell and atoms, written as extended XYZ:
```
4
Lattice="-2.503 3.742 0.737 -2.349 -1.392 -0.910 -0.869 -1.464 4.483" Properties=species:S:1:pos:R:3 pbc="T T T"
In -3.423 -0.182 3.421
Mn -1.125 -1.574 4.175
Mn -1.812 1.246 1.635
Zn -1.838 -1.495 1.349
```

Computed properties:
As for the space group: Pmm2, No. 25. Its final energy is -5.3949 eV/atom. As for the crystal system: orthorhombic. The formation energy comes out at 0.77 eV/f.u. For the volume, the calculation gives 63 Å³/f.u.

3.
First-principles (GGA-PBE) data for crystalline LiHgRu2 at its relaxed geometry, as listed in Alexandria via LeMat-Bulk.

Cell and atoms, written as extended XYZ:
```
4
Lattice="-0.161 -5.042 0.426 2.052 2.872 3.629 -2.534 0.189 1.284" Properties=species:S:1:pos:R:3 pbc="T T T"
Hg -1.347 -2.427 0.855
Li -0.241 1.531 2.456
Ru 0.000 0.000 0.000
Ru 0.946 -1.085 2.027
```

Computed properties:
As for the space group: Cmmm, No. 65. Its final energy is -4.7311 eV/atom. As for the crystal system: orthorhombic. The formation energy comes out at 1.84 eV/f.u. For the volume, the calculation gives 62 Å³/f.u.